The following is a DFT calculation (PBE) of a relaxed SmHgPtRh crystal.

a b c (Å): 4.8081 4.8081 4.8081
angles (deg): 60.00 60.00 60.00
Fractional positions:
Hg 0.2500 0.2500 0.2500
Sm 0.7500 0.7500 0.7500
Rh 0.5000 0.5000 0.5000
Pt 0.0000 0.0000 0.0000

Computed properties:
Crystal system: cubic
Energy of formation, kJ per mole of atoms: -51.8

The following is a DFT calculation (PBE) of a relaxed CaLaDyTh crystal.

a b c (Å): 5.8244 5.8244 5.8244
angles (deg): 60.00 60.00 60.00
Fractional positions:
Th 0.0000 0.0000 0.0000
Dy 0.7500 0.7500 0.7500
La 0.2500 0.2500 0.2500
Ca 0.5000 0.5000 0.5000

Computed properties:
Crystal system: cubic
Energy of formation, kJ per mole of atoms: 22.0

The following is a DFT calculation (PBE) of a relaxed TiZnSn2W crystal.

a b c (Å): 4.9053 4.7190 4.9053
angles (deg): 90.00 90.00 90.00
Fractional positions:
Ti 0.0000 0.5000 0.0000
W 0.5000 0.5000 0.5000
Zn 0.0000 0.0000 0.0000
Sn 0.0000 0.0000 0.5000
Sn 0.5000 0.0000 0.0000

Computed properties:
Crystal system: tetragonal
Energy of formation, kJ per mole of atoms: 130.5

The following is a DFT calculation (PBE) of a relaxed La3Zn8Hg3 crystal.

a b c (Å): 4.6397 8.6932 8.6932
angles (deg): 63.94 74.52 74.52
Fractional positions:
La 0.5000 0.5000 0.5000
La 0.1965 0.8035 0.8035
La 0.8035 0.1965 0.1965
Zn 0.6499 0.0825 0.6177
Zn 0.8312 0.5343 0.8034
Zn 0.3501 0.9175 0.3823
Zn 0.6499 0.6177 0.0825
Zn 0.1688 0.4657 0.1966
Zn 0.3501 0.3823 0.9175
Zn 0.1688 0.1966 0.4657
Zn 0.8312 0.8034 0.5343
Hg 0.5000 0.0000 0.0000
Hg 0.0000 0.2183 0.7817
Hg 0.0000 0.7817 0.2183

Computed properties:
Crystal system: orthorhombic
Energy of formation, kJ per mole of atoms: -32.5

The following is a DFT calculation (PBE) of a relaxed LiCr2Mo crystal.

a b c (Å): 4.1573 2.5098 5.0246
angles (deg): 80.22 90.00 90.00
Fractional positions:
Mo 0.5000 0.7481 0.7537
Cr 0.5000 0.2692 0.2353
Cr 0.0000 0.0220 0.0169
Li 0.0000 0.4607 0.4942

Computed properties:
Crystal system: monoclinic
Energy of formation, kJ per mole of atoms: 36.0

The following is a DFT calculation (PBE) of a relaxed Zn2RuPb crystal.

a b c (Å): 3.9984 3.9984 9.9611
angles (deg): 78.42 78.42 90.00
Fractional positions:
Zn 0.3750 0.4411 0.7500
Zn 0.1911 0.6250 0.2500
Zn 0.5589 0.1250 0.2500
Zn 0.8750 0.8089 0.7500
Ru 0.5000 0.5000 0.0000
Ru 0.2500 0.7500 0.5000
Pb 0.0000 0.0000 0.0000
Pb 0.7500 0.2500 0.5000

Computed properties:
Crystal system: tetragonal
Energy of formation, kJ per mole of atoms: 38.5

The following is a DFT calculation (PBE) of a relaxed SrPm4Pt5 crystal.

a b c (Å): 3.6007 3.6007 18.1680
angles (deg): 90.00 90.00 90.00
Fractional positions:
Pt 0.5000 0.5000 0.1167
Pt 0.5000 0.5000 0.8833
Pt 0.5000 0.5000 0.6952
Pt 0.5000 0.5000 0.5000
Pt 0.5000 0.5000 0.3048
Pm 0.0000 0.0000 0.5985
Pm 0.0000 0.0000 0.4015
Pm 0.0000 0.0000 0.2030
Pm 0.0000 0.0000 0.7970
Sr 0.0000 0.0000 0.0000

Computed properties:
Crystal system: tetragonal
Energy of formation, kJ per mole of atoms: -100.3

The following is a DFT calculation (PBE) of a relaxed LiTe2Se crystal.

a b c (Å): 3.5349 5.6882 4.8784
angles (deg): 90.00 90.00 90.00
Fractional positions:
Se 0.0000 0.5000 0.5000
Te 0.0000 0.0000 0.0000
Te 0.5000 0.5000 0.0000
Li 0.5000 0.0000 0.5000

Computed properties:
Uncorrected formation energy, eV/atom: -0.15
Crystal system: orthorhombic

Which formula does entry 7 have? SrPm4Pt5